1.
PBE HfCoPb, relaxed; SG = No. 216; M_tot = 0.020 μB per formula unit; polymorph energy (0 for the lowest one) = 0 meV per atom; crystal system = cubic
1.0
0.0000 3.1032 3.1032
3.1032 0.0000 3.1032
3.1032 3.1032 0.0000
Co Hf Pb
1 1 1
Cartesian
0.0000 0.0000 0.0000 Co
1.5516 1.5516 1.5516 Hf
4.6548 4.6548 4.6548 Pb

---

2.
PBE HfCoPdPb, relaxed; SG = No. 216; M_tot = 0.087 μB per formula unit; polymorph energy (0 for the lowest one) = 0 meV per atom; crystal system = cubic
1.0
0.0000 3.2646 3.2646
3.2646 0.0000 3.2646
3.2646 3.2646 0.0000
Co Hf Pb Pd
1 1 1 1
Cartesian
4.8968 4.8968 4.8968 Co
3.2646 3.2646 3.2646 Hf
0.0000 0.0000 0.0000 Pb
1.6323 1.6323 1.6323 Pd

---

3.
PBE HfCoPdPb, relaxed; SG = No. 216; M_tot = 0.902 μB per formula unit; polymorph energy (0 for the lowest one) = 249 meV per atom; crystal system = cubic
1.0
1.8240 0.1426 4.2659
-0.0481 3.9646 2.4133
-2.7734 0.4333 3.6966
Co Hf Pb Pd
1 1 1 1
Cartesian
-0.7482 3.4054 7.7819 Co
-0.2494 1.1351 2.5939 Hf
0.0000 0.0000 0.0000 Pb
-0.4988 2.2702 5.1879 Pd

---

4.
PBE HfCoPtPb, relaxed; SG = No. 216; M_tot = 0.088 μB per formula unit; polymorph energy (0 for the lowest one) = 0 meV per atom; crystal system = cubic
1.0
0.0000 3.2789 3.2789
3.2789 0.0000 3.2789
3.2789 3.2789 0.0000
Co Hf Pb Pt
1 1 1 1
Cartesian
4.9183 4.9183 4.9183 Co
3.2789 3.2789 3.2789 Hf
0.0000 0.0000 0.0000 Pb
1.6394 1.6394 1.6394 Pt

---

5.
PBE HfCoPtPb, relaxed; SG = No. 216; M_tot = 0.162 μB per formula unit; polymorph energy (0 for the lowest one) = 175 meV per atom; crystal system = cubic
1.0
3.2691 -1.4164 2.9830
1.1557 2.6723 3.6213
-1.1832 -1.2839 4.3061
Co Hf Pb Pt
1 1 1 1
Cartesian
2.4312 -0.0209 8.1829 Co
0.8104 -0.0070 2.7276 Hf
0.0000 0.0000 0.0000 Pb
1.6208 -0.0139 5.4552 Pt

---

6.
PBE HfTaCoPb, relaxed; SG = No. 216; M_tot = 2.418 μB per formula unit; polymorph energy (0 for the lowest one) = 0 meV per atom; crystal system = cubic
1.0
-4.2443 -0.3399 2.0641
-2.7806 3.8139 0.3340
-3.9328 0.2969 -2.6143
Co Hf Pb Ta
1 1 1 1
Cartesian
-8.2183 2.8282 -0.1622 Co
-5.4788 1.8854 -0.1081 Hf
0.0000 0.0000 0.0000 Pb
-2.7394 0.9427 -0.0541 Ta

---

7.
PBE HfCoTcPb, relaxed; SG = No. 216; M_tot = 0.001 μB per formula unit; polymorph energy (0 for the lowest one) = 0 meV per atom; crystal system = cubic
1.0
-0.8200 -3.3480 3.0010
-4.2915 -1.3561 0.7945
-1.4131 -4.0904 -1.4694
Co Hf Pb Tc
1 1 1 1
Cartesian
-4.8935 -6.5958 1.7446 Co
-3.2623 -4.3972 1.1630 Hf
0.0000 0.0000 0.0000 Pb
-1.6312 -2.1986 0.5815 Tc

---

8.
PBE HfCoTcPb, relaxed; SG = No. 216; M_tot = 2.811 μB per formula unit; polymorph energy (0 for the lowest one) = 443 meV per atom; crystal system = cubic
1.0
2.8757 0.2893 3.6564
1.3897 4.1709 1.5475
-1.5726 1.6144 4.0796
Co Hf Pb Tc
1 1 1 1
Cartesian
2.0196 4.5559 6.9626 Co
0.6732 1.5186 2.3209 Hf
0.0000 0.0000 0.0000 Pb
1.3464 3.0373 4.6417 Tc

---

9.
PBE HfCoPbW, relaxed; SG = No. 216; M_tot = 0.869 μB per formula unit; polymorph energy (0 for the lowest one) = 0 meV per atom; crystal system = cubic
1.0
0.0000 3.2837 3.2837
3.2837 0.0000 3.2837
3.2837 3.2837 0.0000
Co Hf Pb W
1 1 1 1
Cartesian
4.9256 4.9256 4.9256 Co
3.2837 3.2837 3.2837 Hf
0.0000 0.0000 0.0000 Pb
1.6419 1.6419 1.6419 W

---

10.
PBE HfZnCoPb, relaxed; SG = No. 216; M_tot = 0.909 μB per formula unit; polymorph energy (0 for the lowest one) = 157 meV per atom; crystal system = cubic
1.0
1.7399 -4.0489 1.4760
-2.0261 -2.2535 3.5236
-2.3148 -3.9512 -0.7931
Co Hf Pb Zn
1 1 1 1
Cartesian
-1.9508 -7.6902 3.1549 Co
-0.6503 -2.5634 1.0516 Hf
0.0000 0.0000 0.0000 Pb
-1.3005 -5.1268 2.1033 Zn

---

11.
PBE HfZnCoPb, relaxed; SG = No. 216; M_tot = 0.074 μB per formula unit; polymorph energy (0 for the lowest one) = 0 meV per atom; crystal system = cubic
1.0
1.0297 -1.0818 4.3867
-2.5322 -3.1516 2.2648
1.8135 -4.1456 0.9995
Co Hf Pb Zn
1 1 1 1
Cartesian
0.2333 -6.2843 5.7383 Co
0.1555 -4.1895 3.8255 Hf
0.0000 0.0000 0.0000 Pb
0.0778 -2.0948 1.9128 Zn

---

12.
PBE Hf3Zr3CoPb2, relaxed; SG = No. 189; M_tot = 0.023 μB per formula unit; polymorph energy (0 for the lowest one) = 76 meV per atom; crystal system = hexagonal
1.0
8.0805 0.0000 0.0000
-4.0403 6.9980 0.0000
0.0000 0.0000 3.4610
Co Hf Pb Zr
1 3 2 3
Cartesian
0.0000 0.0000 0.0000 Co
3.0938 0.0000 0.0000 Hf
-1.5469 2.6793 0.0000 Hf
2.4934 4.3187 0.0000 Hf
4.0403 2.3326 1.7305 Pb
0.0000 4.6653 1.7305 Pb
6.1409 0.0000 1.7305 Zr
0.9698 1.6798 1.7305 Zr
-3.0704 5.3181 1.7305 Zr

---

13.
PBE Hf3Zr3CoPb2, relaxed; SG = No. 189; M_tot = 0.026 μB per formula unit; polymorph energy (0 for the lowest one) = 0 meV per atom; crystal system = hexagonal
1.0
8.0355 0.0000 0.0000
-4.0178 6.9590 0.0000
0.0000 0.0000 3.4980
Co Hf Pb Zr
1 3 2 3
Cartesian
0.0000 0.0000 0.0000 Co
6.1569 0.0000 1.7490 Hf
0.9393 1.6270 1.7490 Hf
-3.0784 5.3320 1.7490 Hf
4.0177 2.3196 1.7490 Pb
0.0000 4.6393 1.7490 Pb
3.1027 0.0000 0.0000 Zr
-1.5514 2.6871 0.0000 Zr
2.4664 4.2719 0.0000 Zr

---

14.
PBE Hf2CoPd, relaxed; SG = No. 12; M_tot = 0.000 μB per formula unit; crystal system = monoclinic; formation energy = -599 meV/atom
1.0
-1.0559 1.8106 -2.4397
-4.3607 -3.9513 -3.1636
-5.9878 2.4460 2.2906
Co Hf Pd
2 4 2
Cartesian
-1.5611 -0.8858 -1.0408 Co
-9.8433 1.1911 -2.2720 Co
-6.2795 -2.2470 -4.2467 Hf
-4.1183 -0.8440 -2.0245 Hf
-7.2862 1.1494 -1.2882 Hf
-5.1249 2.5523 0.9340 Hf
-4.6880 1.9035 -1.8588 Pd
-6.7164 -1.5981 -1.4539 Pd

---

15.
PBE Hf2CoPd, relaxed; SG = No. 216; M_tot = 0.110 μB per formula unit; crystal system = cubic; formation energy = -163 meV/atom
1.0
0.0000 3.1921 3.1921
3.1921 0.0000 3.1921
3.1921 3.1921 0.0000
Co Hf Pd
1 2 1
Cartesian
1.5961 1.5961 1.5961 Co
0.0000 0.0000 0.0000 Hf
4.7882 4.7882 4.7882 Hf
3.1921 3.1921 3.1921 Pd

---

16.
PBE HfCoSbPd, relaxed; SG = No. 216; M_tot = 0.021 μB per formula unit; polymorph energy (0 for the lowest one) = 0 meV per atom; crystal system = cubic
1.0
0.0000 3.2227 3.2227
3.2227 0.0000 3.2227
3.2227 3.2227 0.0000
Co Hf Pd Sb
1 1 1 1
Cartesian
4.8340 4.8340 4.8340 Co
3.2227 3.2227 3.2227 Hf
1.6113 1.6113 1.6113 Pd
0.0000 0.0000 0.0000 Sb

---

17.
PBE HfCoSbPd, relaxed; SG = No. 216; M_tot = 0.651 μB per formula unit; polymorph energy (0 for the lowest one) = 208 meV per atom; crystal system = cubic
1.0
2.0155 -0.6094 4.0736
-0.4249 3.1885 3.2682
-2.5497 -0.8505 3.7153
Co Hf Pd Sb
1 1 1 1
Cartesian
-0.7192 1.2965 8.2928 Co
-0.2397 0.4322 2.7643 Hf
-0.4795 0.8643 5.5285 Pd
0.0000 0.0000 0.0000 Sb

---

18.
PBE HfZnCoPd, relaxed; SG = No. 216; M_tot = 1.495 μB per formula unit; polymorph energy (0 for the lowest one) = 283 meV per atom; crystal system = cubic; formation energy = -160 meV/atom
1.0
0.0000 3.1391 3.1391
3.1391 0.0000 3.1391
3.1391 3.1391 0.0000
Co Hf Pd Zn
1 1 1 1
Cartesian
4.7087 4.7087 4.7087 Co
1.5696 1.5696 1.5696 Hf
3.1391 3.1391 3.1391 Pd
0.0000 0.0000 0.0000 Zn

---

19.
PBE HfZnCoPd, relaxed; SG = No. 216; M_tot = 0.653 μB per formula unit; polymorph energy (0 for the lowest one) = 0 meV per atom; crystal system = cubic; formation energy = -443 meV/atom
1.0
2.8442 -2.5812 2.1372
0.5942 0.4950 4.3268
-1.4763 -3.0627 2.7857
Co Hf Pd Zn
1 1 1 1
Cartesian
1.4716 -3.8617 6.9373 Co
0.9810 -2.5744 4.6249 Hf
0.4905 -1.2872 2.3124 Pd
0.0000 0.0000 0.0000 Zn

---

20.
PBE Pr3Hf3CoTe2, relaxed; SG = No. 189; M_tot = 0.783 μB per formula unit; polymorph energy (0 for the lowest one) = 0 meV per atom; crystal system = hexagonal
1.0
-6.7398 4.5371 0.5858
-0.2042 -7.8805 2.0515
0.9661 0.9510 3.7491
Co Hf Pr Te
1 3 3 2
Cartesian
0.0000 0.0000 0.0000 Co
-4.8082 4.0374 2.3345 Hf
-1.0094 -0.2431 2.4414 Hf
0.3227 -5.7113 3.4852 Hf
-2.6902 1.8110 0.2338 Pr
-0.0815 -3.1456 0.8189 Pr
-4.1722 -2.0089 1.5846 Pr
-4.0782 0.8734 2.9490 Te
-1.8997 -3.2658 3.4375 Te

---

21.
PBE Pr3Hf3CoTe2, relaxed; SG = No. 189; M_tot = 0.076 μB per formula unit; polymorph energy (0 for the lowest one) = 379 meV per atom; crystal system = hexagonal
1.0
8.3822 0.0000 0.0000
-4.1911 7.2592 0.0000
0.0000 0.0000 3.6740
Co Hf Pr Te
1 3 3 2
Cartesian
0.0000 0.0000 0.0000 Co
3.4389 0.0000 0.0000 Hf
-1.7194 2.9782 0.0000 Hf
2.4716 4.2810 0.0000 Hf
6.3197 0.0000 1.8370 Pr
1.0313 1.7862 1.8370 Pr
-3.1598 5.4730 1.8370 Pr
4.1911 2.4197 1.8370 Te
0.0000 4.8394 1.8370 Te

---

22.
PBE HfCoPt, relaxed; SG = No. 216; M_tot = 0.077 μB per formula unit; crystal system = cubic; formation energy = -354 meV/atom
1.0
-0.1803 -4.1398 0.5332
0.2256 -1.6230 3.8431
-3.3799 -1.7374 1.7356
Co Hf Pt
1 1 1
Cartesian
0.0000 0.0000 0.0000 Co
-0.8337 -1.8751 1.5280 Hf
-2.5010 -5.6252 4.5839 Pt

---

23.
PBE HfCoPt, relaxed; SG = No. 216; M_tot = 0.006 μB per formula unit; crystal system = cubic; formation energy = -164 meV/atom
1.0
0.0000 3.0178 3.0178
3.0178 0.0000 3.0178
3.0178 3.0178 0.0000
Co Hf Pt
1 1 1
Cartesian
1.5089 1.5089 1.5089 Co
0.0000 0.0000 0.0000 Hf
4.5267 4.5267 4.5267 Pt

---

24.
PBE HfCoSbPt, relaxed; SG = No. 216; M_tot = 0.763 μB per formula unit; polymorph energy (0 for the lowest one) = 112 meV per atom; crystal system = cubic
1.0
-3.0681 0.1860 3.4187
-1.0245 4.0342 1.9522
-4.1181 1.9167 -0.7089
Co Hf Pt Sb
1 1 1 1
Cartesian
-6.1580 4.6027 3.4965 Co
-2.0527 1.5342 1.1655 Hf
-4.1054 3.0684 2.3310 Pt
0.0000 0.0000 0.0000 Sb

---

25.
PBE HfCoSbPt, relaxed; SG = No. 216; M_tot = 0.512 μB per formula unit; polymorph energy (0 for the lowest one) = 0 meV per atom; crystal system = cubic
1.0
0.0000 3.2495 3.2495
3.2495 0.0000 3.2495
3.2495 3.2495 0.0000
Co Hf Pt Sb
1 1 1 1
Cartesian
4.8742 4.8742 4.8742 Co
3.2495 3.2495 3.2495 Hf
1.6247 1.6247 1.6247 Pt
0.0000 0.0000 0.0000 Sb

---

26.
PBE HfCoSiPt, relaxed; SG = No. 216; M_tot = 1.041 μB per formula unit; polymorph energy (0 for the lowest one) = 0 meV per atom; crystal system = cubic
1.0
0.3050 -1.2434 4.1947
-3.6352 -0.6040 2.3780
-1.2010 -4.0498 1.1796
Co Hf Pt Si
1 1 1 1
Cartesian
-3.3984 -4.4229 5.8142 Co
-2.2656 -2.9486 3.8762 Hf
-1.1328 -1.4743 1.9381 Pt
0.0000 0.0000 0.0000 Si

---

27.
PBE HfCoSiPt, relaxed; SG = No. 216; M_tot = 1.376 μB per formula unit; polymorph energy (0 for the lowest one) = 172 meV per atom; crystal system = cubic
1.0
0.0000 3.1229 3.1229
3.1229 0.0000 3.1229
3.1229 3.1229 0.0000
Co Hf Pt Si
1 1 1 1
Cartesian
4.6843 4.6843 4.6843 Co
1.5614 1.5614 1.5614 Hf
3.1229 3.1229 3.1229 Pt
0.0000 0.0000 0.0000 Si

---

28.
PBE HfZnCoPt, relaxed; SG = No. 216; M_tot = 1.497 μB per formula unit; polymorph energy (0 for the lowest one) = 288 meV per atom; crystal system = cubic; formation energy = -303 meV/atom
1.0
0.0000 3.1496 3.1496
3.1496 0.0000 3.1496
3.1496 3.1496 0.0000
Co Hf Pt Zn
1 1 1 1
Cartesian
4.7244 4.7244 4.7244 Co
1.5748 1.5748 1.5748 Hf
3.1496 3.1496 3.1496 Pt
0.0000 0.0000 0.0000 Zn

---

29.
PBE HfZnCoPt, relaxed; SG = No. 216; M_tot = 0.999 μB per formula unit; polymorph energy (0 for the lowest one) = 0 meV per atom; crystal system = cubic; formation energy = -592 meV/atom
1.0
1.5408 -0.7371 4.0718
-2.5308 0.8767 3.5105
-1.6447 -3.3087 2.4175
Co Hf Pt Zn
1 1 1 1
Cartesian
-1.9760 -2.3768 7.4999 Co
-1.3173 -1.5845 4.9999 Hf
-0.6587 -0.7923 2.5000 Pt
0.0000 0.0000 0.0000 Zn